1.
DFT (GGA-PBE) results for a relaxed Rb2Li2ZrO4 crystal. Values from VASP.

Cell and atoms, written as Quantum ESPRESSO input:
```
&SYSTEM
  ibrav = 0, nat = 9, ntyp = 4
/
ATOMIC_SPECIES
O 16.00 O.upf
Rb 85.47 Rb.upf
Li 6.94 Li.upf
Zr 91.22 Zr.upf
CELL_PARAMETERS angstrom
3.384 0.000 0.000
0.000 6.587 0.294
-1.692 -2.340 5.735
ATOMIC_POSITIONS crystal
O 0.484 0.201 0.967
O 0.516 0.799 0.033
O 0.183 0.126 0.366
O 0.817 0.874 0.634
Rb 0.858 0.433 0.717
Rb 0.142 0.567 0.283
Li 0.681 0.984 0.361
Li 0.319 0.016 0.639
Zr 0.000 0.000 0.000
```

Properties
- Raw total energy: -5.966 eV per atom
- Crystal system: monoclinic
- ΔE_f (raw): -209.6 kJ per mole of atoms
- Magnetization: 0.000 μB/atom

***

2.
DFT (GGA-PBE) results for a relaxed LiRe2O2 crystal. Values from VASP.

Cell and atoms, written as Quantum ESPRESSO input:
```
&SYSTEM
  ibrav = 0, nat = 10, ntyp = 3
/
ATOMIC_SPECIES
O 16.00 O.upf
Re 186.21 Re.upf
Li 6.94 Li.upf
CELL_PARAMETERS angstrom
6.569 0.000 0.000
0.000 6.569 0.000
0.000 0.000 2.644
ATOMIC_POSITIONS crystal
O 0.128 0.372 0.000
O 0.628 0.128 0.000
O 0.872 0.628 0.000
O 0.372 0.872 0.000
Re 0.708 0.792 0.500
Re 0.208 0.708 0.500
Re 0.792 0.292 0.500
Re 0.292 0.208 0.500
Li 0.500 0.500 0.000
Li 0.000 0.000 0.000
```

Properties
- Energy relative to the lowest polymorph listed for this composition: 420 meV/atom
- Raw total energy: -7.044 eV per atom
- Crystal system: tetragonal
- ΔE_f (raw): 29.1 kJ per mole of atoms
- Magnetization: 0.000 μB/atom

***

3.
DFT (GGA-PBE) results for a relaxed LiReO2 crystal. Values from VASP.

Cell and atoms, written as Quantum ESPRESSO input:
```
&SYSTEM
  ibrav = 0, nat = 4, ntyp = 3
/
ATOMIC_SPECIES
O 16.00 O.upf
Re 186.21 Re.upf
Li 6.94 Li.upf
CELL_PARAMETERS angstrom
1.687 0.000 5.975
-0.843 1.461 5.975
-0.843 -1.461 5.975
ATOMIC_POSITIONS crystal
O 0.900 0.900 0.900
O 0.100 0.100 0.100
Re 0.000 0.000 0.000
Li 0.500 0.500 0.500
```

Properties
- Energy relative to the lowest polymorph listed for this composition: 0 meV/atom
- Raw total energy: -7.444 eV per atom
- Crystal system: trigonal
- ΔE_f (raw): -132.7 kJ per mole of atoms
- Magnetization: 0.000 μB/atom

***

4.
DFT (GGA-PBE) results for a relaxed LiReO2 crystal. Values from VASP.

Cell and atoms, written as Quantum ESPRESSO input:
```
&SYSTEM
  ibrav = 0, nat = 4, ntyp = 3
/
ATOMIC_SPECIES
Re 186.21 Re.upf
Li 6.94 Li.upf
O 16.00 O.upf
CELL_PARAMETERS angstrom
0.000 2.571 2.571
2.571 0.000 2.571
2.571 2.571 0.000
ATOMIC_POSITIONS crystal
Re 0.500 0.500 0.500
Li 0.000 0.000 0.000
O 0.250 0.250 0.250
O 0.750 0.750 0.750
```

Properties
- Energy relative to the lowest polymorph listed for this composition: 587 meV/atom
- Raw total energy: -6.858 eV per atom
- Crystal system: cubic
- ΔE_f (raw): -76.1 kJ per mole of atoms
- Magnetization: 0.000 μB/atom

***

5.
DFT (GGA-PBE) results for a relaxed Li2ReO crystal. Values from VASP.

Cell and atoms, written as Quantum ESPRESSO input:
```
&SYSTEM
  ibrav = 0, nat = 8, ntyp = 3
/
ATOMIC_SPECIES
Li 6.94 Li.upf
O 16.00 O.upf
Re 186.21 Re.upf
CELL_PARAMETERS angstrom
6.971 0.000 0.000
0.000 6.971 0.000
3.486 3.486 1.957
ATOMIC_POSITIONS crystal
Li 0.224 0.625 0.250
Li 0.526 0.125 0.250
Li 0.875 0.776 0.750
Li 0.375 0.474 0.750
O 0.500 0.500 0.000
O 0.250 0.750 0.500
Re 0.750 0.250 0.500
Re 0.000 0.000 0.000
```

Properties
- Raw total energy: -5.516 eV per atom
- Crystal system: tetragonal
- ΔE_f (raw): -20.0 kJ per mole of atoms
- Magnetization: 0.000 μB/atom

***

6.
DFT (GGA-PBE) results for a relaxed LiReO2 crystal. Values from VASP.

Cell and atoms, written as Quantum ESPRESSO input:
```
&SYSTEM
  ibrav = 0, nat = 8, ntyp = 3
/
ATOMIC_SPECIES
Re 186.21 Re.upf
Li 6.94 Li.upf
O 16.00 O.upf
CELL_PARAMETERS angstrom
-3.441 -2.544 2.234
3.348 -2.079 2.789
-0.440 0.431 5.028
ATOMIC_POSITIONS crystal
Re 0.000 0.000 0.000
Re 0.750 0.250 0.500
Li 0.500 0.500 0.000
Li 0.250 0.750 0.500
O 0.375 0.393 0.750
O 0.607 0.125 0.250
O 0.143 0.625 0.250
O 0.875 0.857 0.750
```

Properties
- Energy relative to the lowest polymorph listed for this composition: 386 meV/atom
- Raw total energy: -7.058 eV per atom
- Crystal system: tetragonal
- ΔE_f (raw): -95.4 kJ per mole of atoms
- Magnetization: 0.000 μB/atom